No. 1
First-principles (PBE) data for an optimized crystal structure of ScTe3Pd, as listed in Alexandria.

Geometry as CIF:
```
data_ScTe3Pd
_chemical_formula_sum 'Sc1 Te3 Pd1'
_space_group_name_H-M_alt 'P m -3 m'
_space_group_IT_number 221
_space_group_name_Hall '-P 4 2 3'
_cell_length_a 5.471
_cell_length_b 5.471
_cell_length_c 5.471
_cell_angle_alpha 90.00
_cell_angle_beta 90.00
_cell_angle_gamma 90.00
loop_
_atom_site_label
_atom_site_fract_x
_atom_site_fract_y
_atom_site_fract_z
_atom_site_occupancy
Sc1 0.000 0.000 0.000 1
Te1 0.000 0.000 0.500 1
Pd1 0.500 0.500 0.500 1
```

Calculated values
Energy relative to the elements, uncorrected, eV/atom: 0.151
Mass density, g/cm³: 5.42

---

No. 2
First-principles (PBE) data for an optimized crystal structure of ScTe2Pd, as listed in Alexandria.

Geometry as CIF:
```
data_ScTe2Pd
_chemical_formula_sum 'Sc4 Te8 Pd4'
_space_group_name_H-M_alt 'I -4 2 d'
_space_group_IT_number 122
_space_group_name_Hall 'I -4 2bw'
_cell_length_a 5.814
_cell_length_b 5.814
_cell_length_c 14.550
_cell_angle_alpha 90.00
_cell_angle_beta 90.00
_cell_angle_gamma 90.00
loop_
_atom_site_label
_atom_site_fract_x
_atom_site_fract_y
_atom_site_fract_z
_atom_site_occupancy
Sc1 0.000 0.000 0.000 1
Te1 0.227 0.250 0.625 1
Pd1 0.000 0.000 0.500 1
```

Calculated values
Energy relative to the elements, uncorrected, eV/atom: -0.565
Mass density, g/cm³: 5.49

---

No. 3
First-principles (PBE) data for an optimized crystal structure of ScTe2Pd7, as listed in Alexandria.

Geometry as CIF:
```
data_ScTe2Pd7
_chemical_formula_sum 'Sc2 Te4 Pd14'
_space_group_name_H-M_alt 'I 4/m m m'
_space_group_IT_number 139
_space_group_name_Hall '-I 4 2'
_cell_length_a 4.114
_cell_length_b 4.114
_cell_length_c 21.971
_cell_angle_alpha 90.00
_cell_angle_beta 90.00
_cell_angle_gamma 90.00
loop_
_atom_site_label
_atom_site_fract_x
_atom_site_fract_y
_atom_site_fract_z
_atom_site_occupancy
Sc1 0.000 0.000 0.000 1
Te1 0.000 0.000 0.332 1
Pd1 0.000 0.000 0.500 1
Pd2 0.000 0.500 0.088 1
Pd3 0.000 0.500 0.250 1
```

Calculated values
Energy relative to the elements, uncorrected, eV/atom: -0.502
Mass density, g/cm³: 9.33

---

No. 4
First-principles (PBE) data for an optimized crystal structure of ScTe2Pd, as listed in Alexandria.

Geometry as CIF:
```
data_ScTe2Pd
_chemical_formula_sum 'Sc3 Te6 Pd3'
_space_group_name_H-M_alt 'R 3 m'
_space_group_IT_number 160
_space_group_name_Hall 'R 3 -2"'
_cell_length_a 4.0837
_cell_length_b 4.0837
_cell_length_c 20.3532
_cell_angle_alpha 90.00
_cell_angle_beta 90.00
_cell_angle_gamma 120.00
loop_
_atom_site_label
_atom_site_fract_x
_atom_site_fract_y
_atom_site_fract_z
_atom_site_occupancy
Sc1 0.0000 0.0000 0.0000 1
Te1 0.0000 0.0000 0.5762 1
Te2 0.0000 0.0000 0.7525 1
Pd1 0.0000 0.0000 0.1604 1
```

Calculated values
Energy relative to the elements, uncorrected, eV/atom: -0.658
Mass density, g/cm³: 6.89

---

Q: The highest mass density belongs to which entry?
A: ScTe2Pd7